No. 1
Below is a geometry-optimized LiBH2 structure, with properties calculated at the PBE level.

abc: 5.1722 5.1722 5.1722
angles: 139.51 139.51 58.60
Closest atoms and distances in Å follow each position.
Element x y z (fractional)
Li 0.0000 0.0000 0.0000  8 H 2.19-2.40
Li 0.7500 0.2500 0.5000  8 H 2.19-2.40
B 0.2500 0.7500 0.5000  4 H 1.45
B 0.5000 0.5000 0.0000  4 H 1.45
H 0.3369 0.6250 0.2119  2 B 1.45
H 0.3750 0.5869 0.7119  2 B 1.45
H 0.4131 0.1250 0.7881  2 B 1.45
H 0.8750 0.6631 0.2881  2 B 1.45

Summary:
**Energy**: -3.41 eV/atom
**SG**: I-42d, No. 122

No. 2
Below is a geometry-optimized LiB2H2 structure, with properties calculated at the PBE level.

abc: 4.4347 4.4347 6.9049
angles: 101.40 101.40 39.17
Closest atoms and distances in Å follow each position.
Element x y z (fractional)
Li 0.0000 0.0000 0.0000  3 H 1.77-1.86
Li 0.5628 0.5628 0.3667  3 H 1.77-1.86
B 0.2956 0.2956 0.1254  5 B 1.68-1.82
B 0.2994 0.2994 0.3868  2 H 1.23-1.24
B 0.7296 0.7296 0.9786  2 H 1.22-1.24
B 0.8150 0.8150 0.2404  5 B 1.68-1.82
H 0.1831 0.1831 0.4732  1 B 1.24
H 0.4196 0.4196 0.5237  1 B 1.23
H 0.5833 0.5833 0.8921  1 B 1.24
H 0.8028 0.8028 0.8424  1 B 1.22

Summary:
**Energy**: -4.53 eV/atom
**SG**: Cm, No. 8